A relaxed structure of Mn2ZnCuC, computed with PBE.

Values from the calculation:
E = -32.47 eV for the cell shown

a = 3.839 Å, b = 3.839 Å, c = 3.933 Å
α = 90.00°, β = 90.00°, γ = 90.00°
Space group P4/mmm (No. 123)
One atom of each set of equivalent atoms:
Mn 0.000 0.500 0.000 (multiplicity 2)
Zn 0.000 0.000 0.500 (multiplicity 1)
Cu 0.500 0.500 0.500 (multiplicity 1)
C 0.500 0.500 0.000 (multiplicity 1)